1.
The following is a PBEsol calculation of a geometry-optimized BeOs2 structure, from Alexandria via LeMat-Bulk.

Cell and atoms, written as POSCAR:
```
BeOs2
1.0
0.000 3.558 3.558
3.558 0.000 3.558
3.558 3.558 0.000
Be Os
2 4
direct
0.125 0.125 0.125 Be
0.875 0.875 0.875 Be
0.000 0.500 0.500 Os
0.500 0.000 0.500 Os
0.500 0.500 0.000 Os
0.500 0.500 0.500 Os
```

Properties
ρ (Mg/m³): 14.36
Space group: Fd-3m, No. 227
M_tot (Bohr magnetons per cell): 0.00
Uncorrected energy (eV per atom): -8.45
Energy of formation from the pure elements (meV/atom): 1032

---

2.
The following is a PBEsol calculation of a geometry-optimized Na4Sr2SiAs4 structure, from Alexandria via LeMat-Bulk.

Cell and atoms, written as POSCAR:
```
Na4Sr2SiAs4
1.0
4.748 -8.209 0.000
4.748 8.209 0.000
-0.144 0.000 7.382
Na Sr Si As
8 4 2 8
direct
0.054 0.348 0.473 Na
0.072 0.928 0.500 Na
0.152 0.681 0.794 Na
0.342 0.496 0.959 Na
0.348 0.054 0.973 Na
0.496 0.342 0.459 Na
0.681 0.152 0.294 Na
0.928 0.072 0.000 Na
0.256 0.735 0.298 Sr
0.688 0.737 0.300 Sr
0.735 0.256 0.798 Sr
0.737 0.688 0.800 Sr
0.536 0.870 0.681 Si
0.870 0.536 0.181 Si
0.015 0.820 0.091 As
0.016 0.407 0.082 As
0.403 0.593 0.573 As
0.407 0.016 0.582 As
0.546 0.871 0.008 As
0.593 0.403 0.073 As
0.820 0.015 0.591 As
0.871 0.546 0.508 As
```

Properties
ρ (Mg/m³): 3.43
Space group: Cc, No. 9
M_tot (Bohr magnetons per cell): 0.00
Energy relative to the elements, uncorrected (eV/f.u.): -7.45
Uncorrected energy (eV per atom): -3.90